[1]
{"formula": "Ac3PuBi4", "functional": "GGA-PBE", "state": "optimized geometry", "cell": [[6.815, 0.000, 0.000], [0.000, 6.815, 0.000], [0.000, 0.000, 6.815]], "species": ["Ac", "Ac", "Ac", "Pu", "Bi", "Bi", "Bi", "Bi"], "fractional_positions": [[0.000, 0.000, 0.500], [0.000, 0.500, 0.000], [0.500, 0.000, 0.000], [0.500, 0.500, 0.500], [0.000, 0.000, 0.000], [0.000, 0.500, 0.500], [0.500, 0.000, 0.500], [0.500, 0.500, 0.000]], "e_form_ev_per_atom": -0.790, "total_magnetization_mub_per_cell": 5.17, "relative_energy_ev_per_fu": 0.13, "volume_a3_per_cell": 316.6, "crystal_system": "cubic"}

[2]
{"formula": "Ac4PuBi5", "functional": "GGA-PBE", "state": "optimized geometry", "cell": [[-2.416, 2.416, 17.033], [2.416, -2.416, 17.033], [2.416, 2.416, -17.033]], "species": ["Ac", "Ac", "Ac", "Ac", "Pu", "Bi", "Bi", "Bi", "Bi", "Bi"], "fractional_positions": [[0.099, 0.099, 0.000], [0.301, 0.301, 0.000], [0.699, 0.699, 0.000], [0.901, 0.901, 0.000], [0.500, 0.500, 0.000], [0.000, 0.000, 0.000], [0.200, 0.200, 0.000], [0.404, 0.404, 0.000], [0.596, 0.596, 0.000], [0.800, 0.800, 0.000]], "e_form_ev_per_atom": -0.838, "total_magnetization_mub_per_cell": 5.07, "volume_a3_per_cell": 397.8, "crystal_system": "tetragonal"}

[3]
{"formula": "AcPuBi4", "functional": "GGA-PBE", "state": "optimized geometry", "cell": [[0.000, 4.676, 4.676], [4.676, 0.000, 4.676], [4.676, 4.676, 0.000]], "species": ["Ac", "Pu", "Bi", "Bi", "Bi", "Bi"], "fractional_positions": [[0.000, 0.000, 0.000], [0.750, 0.750, 0.750], [0.375, 0.375, 0.375], [0.375, 0.375, 0.874], [0.375, 0.874, 0.375], [0.874, 0.375, 0.375]], "e_form_ev_per_atom": -0.181, "total_magnetization_mub_per_cell": 6.25, "volume_a3_per_cell": 204.4, "crystal_system": "cubic"}

[4]
{"formula": "AcPuBi", "functional": "GGA-PBE", "state": "optimized geometry", "cell": [[5.451, 0.000, 0.000], [-2.725, 4.721, 0.000], [0.000, 0.000, 4.140]], "species": ["Ac", "Pu", "Bi"], "fractional_positions": [[0.000, 0.000, 0.000], [0.333, 0.667, 0.498], [0.667, 0.333, 0.504]], "e_form_ev_per_atom": -0.151, "total_magnetization_mub_per_cell": 7.10, "relative_energy_ev_per_fu": 0.39, "volume_a3_per_cell": 106.5, "crystal_system": "trigonal"}

[5]
{"formula": "AcPuBiSb", "functional": "GGA-PBE", "state": "optimized geometry", "cell": [[0.000, 4.007, 4.007], [4.007, 0.000, 4.007], [4.007, 4.007, 0.000]], "species": ["Ac", "Pu", "Bi", "Sb"], "fractional_positions": [[0.000, 0.000, 0.000], [0.500, 0.500, 0.500], [0.250, 0.250, 0.250], [0.750, 0.750, 0.750]], "total_magnetization_mub_per_cell": 5.63, "e_form_raw_ev_per_atom": -0.587, "volume_a3_per_cell": 128.7, "crystal_system": "cubic"}

[6]
{"formula": "AcPuBiSe", "functional": "GGA-PBE", "state": "optimized geometry", "cell": [[0.000, 3.920, 3.920], [3.920, 0.000, 3.920], [3.920, 3.920, 0.000]], "species": ["Ac", "Pu", "Bi", "Se"], "fractional_positions": [[0.000, 0.000, 0.000], [0.500, 0.500, 0.500], [0.750, 0.750, 0.750], [0.250, 0.250, 0.250]], "total_magnetization_mub_per_cell": 5.95, "relative_energy_ev_per_fu": 0.07, "e_form_raw_ev_per_atom": -0.932, "volume_a3_per_cell": 120.5, "crystal_system": "cubic"}

[7]
{"formula": "AcPuBiSe", "functional": "GGA-PBE", "state": "optimized geometry", "cell": [[5.009, 0.000, 0.000], [0.000, 5.009, 0.000], [0.000, 0.000, 11.062]], "species": ["Ac", "Ac", "Pu", "Pu", "Bi", "Bi", "Se", "Se"], "fractional_positions": [[0.250, 0.250, 0.152], [0.750, 0.750, 0.848], [0.250, 0.750, 0.500], [0.750, 0.250, 0.500], [0.250, 0.250, 0.691], [0.750, 0.750, 0.309], [0.250, 0.750, 0.000], [0.750, 0.250, 0.000]], "total_magnetization_mub_per_cell": 12.00, "relative_energy_ev_per_fu": 0.00, "e_form_raw_ev_per_atom": -0.951, "volume_a3_per_cell": 277.5, "crystal_system": "tetragonal"}

[8]
{"formula": "AcSm2PuBi4", "functional": "GGA-PBE", "state": "optimized geometry", "cell": [[8.030, 0.000, 0.000], [0.000, 4.643, 0.000], [-2.677, 0.000, 7.598]], "species": ["Ac", "Sm", "Sm", "Pu", "Bi", "Bi", "Bi", "Bi"], "fractional_positions": [[0.000, 0.000, 0.000], [0.000, 0.500, 0.500], [0.500, 0.000, 0.500], [0.500, 0.500, 0.000], [0.257, 0.000, 0.745], [0.263, 0.500, 0.262], [0.737, 0.500, 0.738], [0.743, 0.000, 0.255]], "e_form_ev_per_atom": -0.769, "total_magnetization_mub_per_cell": 5.13, "volume_a3_per_cell": 283.3, "crystal_system": "monoclinic"}

[9]
{"formula": "AcPuSnBi", "functional": "GGA-PBE", "state": "optimized geometry", "cell": [[0.000, 4.009, 4.009], [4.009, 0.000, 4.009], [4.009, 4.009, 0.000]], "species": ["Ac", "Pu", "Sn", "Bi"], "fractional_positions": [[0.000, 0.000, 0.000], [0.500, 0.500, 0.500], [0.250, 0.250, 0.250], [0.750, 0.750, 0.750]], "e_form_ev_per_atom": -0.395, "total_magnetization_mub_per_cell": 6.04, "volume_a3_per_cell": 128.9, "crystal_system": "cubic"}

[10]
{"formula": "Ac2PuThBi4", "functional": "GGA-PBE", "state": "optimized geometry", "cell": [[8.181, 0.000, 0.000], [0.000, 4.727, 0.000], [-2.728, 0.000, 7.734]], "species": ["Ac", "Ac", "Pu", "Th", "Bi", "Bi", "Bi", "Bi"], "fractional_positions": [[0.000, 0.000, 0.000], [0.500, 0.500, 0.000], [0.000, 0.500, 0.500], [0.500, 0.000, 0.500], [0.244, 0.000, 0.731], [0.256, 0.500, 0.267], [0.744, 0.500, 0.733], [0.756, 0.000, 0.269]], "e_form_ev_per_atom": -0.737, "total_magnetization_mub_per_cell": 5.54, "volume_a3_per_cell": 299.0, "crystal_system": "monoclinic"}